DFT (PBE) results for an optimized crystal structure of LiCuNiP.

a b c (Å): 5.607 5.607 5.607
angles (deg): 90.00 90.00 90.00
Space group F-43m (No. 216)
Asymmetric unit:
Li (0.000, 0.000, 0.000)
Cu (0.250, 0.250, 0.250)
Ni (0.250, 0.250, 0.750)
P (0.000, 0.000, 0.500)

Properties
energy of formation = -0.31 eV per atom

DFT (PBE) results for an optimized crystal structure of BaGa2CuI.

a b c (Å): 4.800 4.800 6.431
angles (deg): 90.00 90.00 90.00
Space group P4/mmm (No. 123)
Asymmetric unit:
Ba (0.000, 0.000, 0.000)
Ga (0.000, 0.500, 0.500)
Cu (0.500, 0.500, 0.500)
I (0.500, 0.500, 0.000)

Properties
ΔE_f (raw) = -26.7 kJ per mole of atoms